Record 1
Sr2AcCd9: optimized geometry, PBE.

a = 10.377 Å, b = 10.377 Å, c = 10.377 Å
α = 34.83°, β = 34.83°, γ = 34.83°
Fractional positions:
Sr  0.143  0.143  0.143
Sr  0.857  0.857  0.857
Ac  0.000  0.000  0.000
Cd  0.075  0.587  0.587
Cd  0.336  0.336  0.336
Cd  0.413  0.413  0.925
Cd  0.413  0.925  0.413
Cd  0.500  0.500  0.500
Cd  0.587  0.075  0.587
Cd  0.587  0.587  0.075
Cd  0.664  0.664  0.664
Cd  0.925  0.413  0.413

- total magnetic moment (μB/f.u.) = 0.00
- calculated formation energy (eV per atom) = -0.273

---

Record 2
PbI: optimized geometry, PBE.

a = 7.867 Å, b = 10.273 Å, c = 5.269 Å
α = 90.00°, β = 130.08°, γ = 90.00°
Fractional positions:
Pb  0.000  0.000  0.000
Pb  0.022  0.500  0.273
Pb  0.500  0.500  0.000
Pb  0.522  0.000  0.273
I  0.083  0.303  0.870
I  0.083  0.697  0.870
I  0.583  0.197  0.870
I  0.583  0.803  0.870

- total magnetic moment (μB/f.u.) = 0.00
- ΔE_f (raw) (eV per atom) = -0.26

---

Record 3
LiZn2Re: optimized geometry, PBE.

a = 2.705 Å, b = 4.546 Å, c = 9.146 Å
α = 90.00°, β = 90.00°, γ = 90.00°
Fractional positions:
Li  0.000  0.000  0.000
Li  0.500  0.500  0.500
Zn  0.000  0.000  0.520
Zn  0.000  0.500  0.261
Zn  0.500  0.000  0.761
Zn  0.500  0.500  0.020
Re  0.000  0.500  0.767
Re  0.500  0.000  0.267

- total magnetic moment (μB/f.u.) = 0.00
- E above lowest polymorph (eV per formula unit) = 0.59
- calculated formation energy (eV per atom) = 0.138

---

Record 4
NaSn5Te7: optimized geometry, PBE.

a = 7.720 Å, b = 7.720 Å, c = 25.552 Å
α = 90.01°, β = 90.01°, γ = 33.83°
Fractional positions:
Na  0.174  0.174  0.250
Na  0.826  0.826  0.750
Sn  0.000  0.000  0.000
Sn  0.000  0.000  0.500
Sn  0.285  0.285  0.578
Sn  0.285  0.285  0.922
Sn  0.436  0.436  0.152
Sn  0.436  0.436  0.348
Sn  0.564  0.564  0.652
Sn  0.564  0.564  0.848
Sn  0.715  0.715  0.078
Sn  0.715  0.715  0.422
Te  0.088  0.088  0.112
Te  0.088  0.088  0.388
Te  0.193  0.193  0.684
Te  0.193  0.193  0.816
Te  0.360  0.360  0.035
Te  0.360  0.360  0.465
Te  0.469  0.469  0.750
Te  0.531  0.531  0.250
Te  0.640  0.640  0.535
Te  0.640  0.640  0.965
Te  0.807  0.807  0.184
Te  0.807  0.807  0.316
Te  0.912  0.912  0.612
Te  0.912  0.912  0.888

- total magnetic moment (μB/f.u.) = 0.00
- ΔE_f (raw) (eV per atom) = -0.31

---

Record 5
V12Ga3Ir: optimized geometry, PBE.

a = 4.768 Å, b = 4.780 Å, c = 9.588 Å
α = 90.00°, β = 90.00°, γ = 90.00°
Fractional positions:
V  0.000  0.000  0.120
V  0.000  0.000  0.370
V  0.000  0.000  0.630
V  0.000  0.000  0.880
V  0.248  0.500  0.500
V  0.252  0.500  0.000
V  0.500  0.246  0.248
V  0.500  0.246  0.752
V  0.500  0.754  0.248
V  0.500  0.754  0.752
V  0.748  0.500  0.000
V  0.752  0.500  0.500
Ga  0.000  0.500  0.251
Ga  0.000  0.500  0.749
Ga  0.500  0.000  0.500
Ir  0.500  0.000  0.000

- total magnetic moment (μB/f.u.) = 0.00
- calculated formation energy (eV per atom) = -0.272

---

Record 6
Ce4PtSe3: optimized geometry, PBE.

a = 8.515 Å, b = 11.968 Å, c = 4.128 Å
α = 90.00°, β = 90.00°, γ = 90.00°
Fractional positions:
Ce  0.000  0.249  0.000
Ce  0.000  0.751  0.000
Ce  0.239  0.000  0.500
Ce  0.261  0.500  0.500
Ce  0.500  0.251  0.000
Ce  0.500  0.749  0.000
Ce  0.739  0.500  0.500
Ce  0.761  0.000  0.500
Pt  0.000  0.000  0.000
Pt  0.500  0.500  0.000
Se  0.000  0.500  0.000
Se  0.250  0.250  0.500
Se  0.250  0.750  0.500
Se  0.500  0.000  0.000
Se  0.750  0.250  0.500
Se  0.750  0.750  0.500

- total magnetic moment (μB/f.u.) = 3.94
- ΔE_f (raw) (eV per atom) = -1.58

---

Record 7
PrZn3PdPt: optimized geometry, PBE.

a = 6.860 Å, b = 6.860 Å, c = 5.575 Å
α = 90.00°, β = 90.00°, γ = 108.96°
Fractional positions:
Pr  0.200  0.800  0.750
Pr  0.800  0.200  0.250
Zn  0.241  0.241  0.000
Zn  0.241  0.241  0.500
Zn  0.322  0.678  0.250
Zn  0.678  0.322  0.750
Zn  0.759  0.759  0.000
Zn  0.759  0.759  0.500
Pd  0.453  0.547  0.750
Pd  0.547  0.453  0.250
Pt  0.093  0.907  0.250
Pt  0.907  0.093  0.750

- total magnetic moment (μB/f.u.) = 0.00
- calculated formation energy (eV per atom) = -0.459

---

Record 8
LiTbDy4S8: optimized geometry, PBE.

a = 8.023 Å, b = 8.023 Å, c = 8.023 Å
α = 59.90°, β = 59.90°, γ = 59.90°
Fractional positions:
Li  0.000  0.000  0.000
Tb  0.629  0.629  0.629
Dy  0.111  0.630  0.630
Dy  0.250  0.250  0.250
Dy  0.630  0.111  0.630
Dy  0.630  0.630  0.111
S  0.383  0.383  0.383
S  0.383  0.383  0.850
S  0.383  0.850  0.383
S  0.394  0.869  0.869
S  0.850  0.383  0.383
S  0.868  0.868  0.868
S  0.869  0.394  0.869
S  0.869  0.869  0.394

- total magnetic moment (μB/f.u.) = 0.00
- ΔE_f (raw) (eV per atom) = -1.97

---

What did the second record say?
PbI: optimized geometry, PBE.

a = 7.867 Å, b = 10.273 Å, c = 5.269 Å
α = 90.00°, β = 130.08°, γ = 90.00°
Fractional positions:
Pb  0.000  0.000  0.000
Pb  0.022  0.500  0.273
Pb  0.500  0.500  0.000
Pb  0.522  0.000  0.273
I  0.083  0.303  0.870
I  0.083  0.697  0.870
I  0.583  0.197  0.870
I  0.583  0.803  0.870

- total magnetic moment (μB/f.u.) = 0.00
- ΔE_f (raw) (eV per atom) = -0.26